[1]
DFT (PBE) results for an optimized crystal structure of La8Si3BrCl4.

abc: 8.503 8.503 8.503
angles: 61.82 61.82 61.82
Fractional coordinates of all 16 atoms:
La 0.224 0.759 0.759
La 0.241 0.241 0.776
La 0.241 0.776 0.241
La 0.244 0.244 0.244
La 0.756 0.756 0.756
La 0.759 0.224 0.759
La 0.759 0.759 0.224
La 0.776 0.241 0.241
Si 0.000 0.000 0.500
Si 0.000 0.500 0.000
Si 0.500 0.000 0.000
Br 0.500 0.500 0.500
Cl 0.000 0.000 0.000
Cl 0.000 0.500 0.500
Cl 0.500 0.000 0.500
Cl 0.500 0.500 0.000

Energy relative to the elements, uncorrected ... -1.325 eV/atom
Space group ... R-3m
M_tot ... 0.00 μB per formula unit

---

[2]
DFT (PBE) results for an optimized crystal structure of La4SiBrCl2.

abc: 7.246 4.332 7.502
angles: 90.00 110.10 90.00
Fractional coordinates of all 8 atoms:
La 0.243 0.000 0.228
La 0.255 0.500 0.770
La 0.745 0.500 0.230
La 0.757 0.000 0.772
Si 0.500 0.000 0.000
Br 0.500 0.500 0.500
Cl 0.000 0.000 0.500
Cl 0.000 0.500 0.000

Energy relative to the elements, uncorrected ... -1.362 eV/atom
Space group ... P2/m
M_tot ... 0.00 μB per formula unit